Entry 1:
Computed, not measured: a relaxed structure of FeNiRh2Cl at the PBE level of DFT.

Values from the calculation:
Calculated volume = 89.0 Å³/cell
ΔE_f (raw) = 1152 meV/atom
Symmetry = P4/mmm (123)

Cell: 4.612 4.186 4.612 Å, 90.00 90.00 90.00°
Each line ends with the local moment (μB).
Element x y z (fractional)
Ni1 0.500 0.500 0.500  0.96
Cl1 0.000 0.500 0.000  0.05
Rh1 0.500 0.000 0.000  0.79
Fe1 0.000 0.000 0.000  2.18
Rh2 0.000 0.000 0.500  0.93



Entry 2:
Computed, not measured: a relaxed structure of CrCu2Ir at the PBE level of DFT.

Values from the calculation:
Total energy = -6.520 eV per atom
Calculated volume = 51.9 Å³/cell
Symmetry = F-43m (216)

Cell: 4.188 4.188 4.188 Å, 60.00 60.00 60.00°
Each line ends with the local moment (μB).
Element x y z (fractional)
Cu1 0.250 0.250 0.250  0.10
Cr1 0.500 0.500 0.500  2.03
Ir1 0.750 0.750 0.750  -0.15
Cu2 0.000 0.000 0.000  0.00



Entry 3:
Computed, not measured: a relaxed structure of CaAl2Re at the PBE level of DFT.

Values from the calculation:
Energy relative to the lowest polymorph listed for this composition = 0.053 eV per atom
Calculated volume = 72.7 Å³/cell
Symmetry = Pmmm (47)

Cell: 3.977 2.814 7.078 Å, 66.53 90.00 90.00°
Element x y z (fractional)
Re1 0.500 0.750 0.750
Al1 0.000 0.053 0.947
Ca1 0.500 0.250 0.250
Al2 0.000 0.447 0.553



Entry 4:
Computed, not measured: a relaxed structure of LiAlNiS2 at the PBE level of DFT.

Values from the calculation:
Calculated volume = 99.4 Å³/cell
ΔE_f (raw) = 539 meV/atom
Symmetry = P4/mmm (123)

Cell: 4.597 4.704 4.597 Å, 90.00 90.00 90.00°
Each line ends with the local moment (μB).
Element x y z (fractional)
Ni1 0.500 0.500 0.500  0.67
Al1 0.000 0.000 0.000  -0.01
S1 0.500 0.000 0.000  0.06
S2 0.000 0.000 0.500  0.06
Li1 0.000 0.500 0.000  -0.01



Entry 5:
Computed, not measured: a relaxed structure of AcMgTlBi at the PBE level of DFT.

Values from the calculation:
Total energy = -3.277 eV per atom
Calculated volume = 125.8 Å³/cell
Symmetry = F-43m (216)

Cell: 5.625 5.625 5.625 Å, 60.00 60.00 60.00°
Element x y z (fractional)
Mg1 0.750 0.750 0.750
Bi1 0.500 0.500 0.500
Ac1 0.250 0.250 0.250
Tl1 0.000 0.000 0.000



Entry 6:
Computed, not measured: a relaxed structure of AlAgBi3 at the PBE level of DFT.

Values from the calculation:
Energy relative to the lowest polymorph listed for this composition = 0.000 eV per atom
Calculated volume = 161.8 Å³/cell
Symmetry = Pm-3m (221)

Cell: 5.449 5.449 5.449 Å, 90.00 90.00 90.00°
Element x y z (fractional)
Ag1 0.500 0.500 0.500
Bi1 0.000 0.500 0.000
Bi2 0.000 0.000 0.500
Bi3 0.500 0.000 0.000
Al1 0.000 0.000 0.000



Entry 7:
Computed, not measured: a relaxed structure of Lu2HgOs at the PBE level of DFT.

Values from the calculation:
Energy relative to the lowest polymorph listed for this composition = 0.138 eV per atom
Calculated volume = 83.8 Å³/cell
Symmetry = Fm-3m (225)

Cell: 4.912 4.912 4.912 Å, 60.00 60.00 60.00°
Element x y z (fractional)
Hg1 0.000 0.000 0.000
Lu1 0.250 0.250 0.250
Os1 0.500 0.500 0.500
Lu2 0.750 0.750 0.750



Entry 8:
Computed, not measured: a relaxed structure of Mg3As4Pd7 at the PBE level of DFT.

Values from the calculation:
Total energy = -4.786 eV per atom
Calculated volume = 238.1 Å³/cell
Symmetry = C2/m (12)

Cell: 4.230 8.957 7.489 Å, 61.79 73.59 76.34°
Element x y z (fractional)
As1 0.332 0.535 0.800
Pd1 0.731 0.139 0.399
Pd2 0.492 0.736 0.280
As2 0.668 0.465 0.200
As3 0.118 0.148 0.616
Mg1 0.362 0.123 0.152
Mg2 0.000 0.500 0.500
Pd3 0.269 0.861 0.601
As4 0.882 0.852 0.384
Mg3 0.638 0.877 0.848
Pd4 0.141 0.648 0.070
Pd5 0.000 0.000 0.000
Pd6 0.859 0.352 0.930
Pd7 0.508 0.264 0.720